Entry 1:
First-principles (PBE) data for a geometry-optimized LiAl3P structure, as listed in the Alexandria database.

abc: 4.447 4.447 4.447
angles: 90.00 90.00 90.00
Fractional coordinates of all 5 atoms:
P1 0.500 0.500 0.500
Al1 0.000 0.500 0.000
Al2 0.000 0.000 0.500
Al3 0.500 0.000 0.000
Li1 0.000 0.000 0.000

Calculated values
E above lowest polymorph, eV per atom: 0.262
DOS at the Fermi energy, states/eV/f.u.: 3.746

---

Entry 2:
First-principles (PBE) data for a geometry-optimized Li2AlP structure, as listed in the Alexandria database.

abc: 4.522 4.522 5.096
angles: 81.23 81.23 36.45
Fractional coordinates of all 4 atoms:
Al1 0.750 0.750 0.750
Li1 0.988 0.988 0.025
Li2 0.512 0.512 0.475
P1 0.250 0.250 0.250

Calculated values
VASP energy, eV per atom: -3.433
DOS at the Fermi energy, states/eV/f.u.: 0.704

---

Entry 3:
First-principles (PBE) data for a geometry-optimized Li2AlP structure, as listed in the Alexandria database.

abc: 3.398 3.309 5.428
angles: 90.00 90.00 90.00
Fractional coordinates of all 4 atoms:
Al1 0.500 0.500 0.725
Li1 0.000 0.000 0.001
Li2 0.500 0.500 0.259
P1 0.000 0.000 0.515

Calculated values
VASP energy, eV per atom: -3.530
DOS at the Fermi energy, states/eV/f.u.: 0.770

---

Entry 4:
First-principles (PBE) data for a geometry-optimized Li2AlP structure, as listed in the Alexandria database.

abc: 7.112 7.112 7.112
angles: 30.65 30.65 30.65
Fractional coordinates of all 4 atoms:
Al1 0.226 0.226 0.226
Li1 0.987 0.987 0.987
Li2 0.780 0.780 0.780
P1 0.507 0.507 0.507

Calculated values
VASP energy, eV per atom: -3.503
DOS at the Fermi energy, states/eV/f.u.: 0.263

---

Entry 5:
First-principles (PBE) data for a geometry-optimized LiAl3P structure, as listed in the Alexandria database.

abc: 4.804 4.804 4.804
angles: 90.00 90.00 90.00
Fractional coordinates of all 5 atoms:
P1 0.000 0.000 0.000
Al1 0.000 0.500 0.000
Al2 0.000 0.000 0.500
Al3 0.500 0.000 0.000
Li1 0.500 0.500 0.500

Calculated values
E above lowest polymorph, eV per atom: 0.000
DOS at the Fermi energy, states/eV/f.u.: 2.502

---

Entry 6:
First-principles (PBE) data for a geometry-optimized Li2AlP structure, as listed in the Alexandria database.

abc: 2.711 2.711 8.287
angles: 90.00 90.00 89.97
Fractional coordinates of all 4 atoms:
Al1 0.500 0.500 0.750
Li1 0.000 0.000 0.033
Li2 0.000 0.000 0.467
P1 0.500 0.500 0.250

Calculated values
VASP energy, eV per atom: -3.478
DOS at the Fermi energy, states/eV/f.u.: 0.966

---

Entry 7:
First-principles (PBE) data for a geometry-optimized Li8Al3P5 structure, as listed in the Alexandria database.

abc: 6.304 6.304 6.304
angles: 90.00 90.00 90.00
Fractional coordinates of all 16 atoms:
P1 0.500 0.500 0.500
P2 0.222 0.222 0.222
P3 0.778 0.778 0.222
P4 0.778 0.222 0.778
P5 0.222 0.778 0.778
Al1 0.500 0.000 0.000
Al2 0.000 0.500 0.000
Al3 0.000 0.000 0.500
Li1 0.000 0.000 0.000
Li2 0.000 0.500 0.500
Li3 0.500 0.000 0.500
Li4 0.500 0.500 0.000
Li5 0.740 0.740 0.740
Li6 0.260 0.260 0.740
Li7 0.260 0.740 0.260
Li8 0.740 0.260 0.260

Calculated values
VASP energy, eV per atom: -3.470
DOS at the Fermi energy, states/eV/f.u.: 9.460

---

Entry 8:
First-principles (PBE) data for a geometry-optimized Li2AlP structure, as listed in the Alexandria database.

abc: 4.008 3.760 3.760
angles: 90.00 90.00 90.00
Fractional coordinates of all 4 atoms:
Al1 0.500 0.000 0.500
Li1 0.000 0.000 0.000
Li2 0.000 0.500 0.500
P1 0.500 0.500 0.000

Calculated values
VASP energy, eV per atom: -3.635
DOS at the Fermi energy, states/eV/f.u.: 0.747

---

Entry 9:
First-principles (PBE) data for a geometry-optimized LiAl2P structure, as listed in the Alexandria database.

abc: 3.358 3.358 6.011
angles: 90.00 90.00 90.00
Fractional coordinates of all 4 atoms:
Al1 0.000 0.000 0.963
Al2 0.500 0.500 0.226
Li1 0.000 0.000 0.500
P1 0.500 0.500 0.812

Calculated values
VASP energy, eV per atom: -3.829
DOS at the Fermi energy, states/eV/f.u.: 1.811

---

Entry 10:
First-principles (PBE) data for a geometry-optimized LiAl2P structure, as listed in the Alexandria database.

abc: 5.076 5.076 5.076
angles: 136.27 136.27 63.56
Fractional coordinates of all 4 atoms:
Al1 0.000 0.000 0.000
Al2 0.500 0.500 0.000
Li1 0.250 0.750 0.500
P1 0.750 0.250 0.500

Calculated values
VASP energy, eV per atom: -3.781
DOS at the Fermi energy, states/eV/f.u.: 1.352

---

Entry 11:
First-principles (PBE) data for a geometry-optimized Li2AlP structure, as listed in the Alexandria database.

abc: 4.938 4.938 2.613
angles: 90.00 90.00 113.45
Fractional coordinates of all 4 atoms:
Al1 0.000 0.500 0.500
Li1 0.000 0.000 0.000
Li2 0.500 0.500 0.000
P1 0.500 0.000 0.500

Calculated values
VASP energy, eV per atom: -3.515
DOS at the Fermi energy, states/eV/f.u.: 0.952

---

Entry 12:
First-principles (PBE) data for a geometry-optimized LiAl2P structure, as listed in the Alexandria database.

abc: 3.952 2.856 5.775
angles: 75.80 90.00 90.00
Fractional coordinates of all 4 atoms:
Al1 0.000 0.811 0.004
Al2 0.500 0.185 0.253
Li1 0.000 0.538 0.549
P1 0.500 0.966 0.694

Calculated values
VASP energy, eV per atom: -3.871
DOS at the Fermi energy, states/eV/f.u.: 0.766

---

Entry 13:
First-principles (PBE) data for a geometry-optimized LiAlPPd2 structure, as listed in the Alexandria database.

abc: 4.540 4.552 4.540
angles: 90.00 90.00 90.00
Fractional coordinates of all 5 atoms:
P1 0.500 0.500 0.500
Al1 0.000 0.000 0.000
Pd1 0.000 0.000 0.500
Pd2 0.500 0.000 0.000
Li1 0.000 0.500 0.000

Calculated values
VASP energy, eV per atom: -3.920
DOS at the Fermi energy, states/eV/f.u.: 2.788

---

Entry 14:
First-principles (PBE) data for a geometry-optimized Li2AlPPd structure, as listed in the Alexandria database.

abc: 4.748 4.479 4.748
angles: 90.00 90.00 90.00
Fractional coordinates of all 5 atoms:
P1 0.000 0.500 0.000
Al1 0.000 0.000 0.000
Pd1 0.500 0.500 0.500
Li1 0.000 0.000 0.500
Li2 0.500 0.000 0.000

Calculated values
E above lowest polymorph, eV per atom: 0.068
DOS at the Fermi energy, states/eV/f.u.: 1.260

---

Entry 15:
First-principles (PBE) data for a geometry-optimized Li2AlPPd structure, as listed in the Alexandria database.

abc: 4.667 4.504 4.667
angles: 90.00 90.00 90.00
Fractional coordinates of all 5 atoms:
P1 0.500 0.500 0.500
Al1 0.000 0.000 0.000
Pd1 0.000 0.500 0.000
Li1 0.000 0.000 0.500
Li2 0.500 0.000 0.000

Calculated values
E above lowest polymorph, eV per atom: 0.000
DOS at the Fermi energy, states/eV/f.u.: 0.829

---

Entry 16:
First-principles (PBE) data for a geometry-optimized Li2AlP2Rh5 structure, as listed in the Alexandria database.

abc: 3.154 9.507 9.507
angles: 90.00 90.00 90.00
Fractional coordinates of all 20 atoms:
Li1 0.000 0.671 0.171
Li2 0.000 0.329 0.829
Li3 0.000 0.171 0.329
Li4 0.000 0.829 0.671
Al1 0.000 0.000 0.000
Al2 0.000 0.500 0.500
P1 0.000 0.131 0.631
P2 0.000 0.869 0.369
P3 0.000 0.631 0.869
P4 0.000 0.369 0.131
Rh1 0.500 0.205 0.073
Rh2 0.500 0.795 0.927
Rh3 0.500 0.073 0.795
Rh4 0.500 0.705 0.427
Rh5 0.500 0.927 0.205
Rh6 0.500 0.295 0.573
Rh7 0.500 0.573 0.705
Rh8 0.500 0.427 0.295
Rh9 0.500 0.500 0.000
Rh10 0.500 0.000 0.500

Calculated values
VASP energy, eV per atom: -6.211
DOS at the Fermi energy, states/eV/f.u.: 2.144

---

Entry 17:
First-principles (PBE) data for a geometry-optimized LiAlPS2 structure, as listed in the Alexandria database.

abc: 4.733 4.733 4.625
angles: 90.00 90.00 90.00
Last column: magnetic moment on the atom in μB.
Fractional coordinates of all 5 atoms:
P1 0.000 0.000 0.500  0.25
S1 0.000 0.500 0.000  0.05
S2 0.500 0.000 0.000  0.05
Al1 0.000 0.000 0.000  0.00
Li1 0.500 0.500 0.500  0.00

Calculated values
Uncorrected formation energy, eV/atom: -0.040
E above lowest polymorph, eV per atom: 0.000
DOS at the Fermi energy, states/eV/f.u.: 2.975

---

Entry 18:
First-principles (PBE) data for a geometry-optimized LiAl2PS6 structure, as listed in the Alexandria database.

abc: 6.782 9.402 9.402
angles: 91.49 69.69 69.69
Fractional coordinates of all 20 atoms:
Li1 0.250 0.654 0.346
Li2 0.750 0.346 0.654
Al1 0.364 0.802 0.647
Al2 0.136 0.353 0.198
Al3 0.636 0.198 0.353
Al4 0.864 0.647 0.802
P1 0.250 0.205 0.795
P2 0.750 0.795 0.205
S1 0.119 0.038 0.789
S2 0.381 0.211 0.962
S3 0.881 0.962 0.211
S4 0.619 0.789 0.038
S5 0.448 0.834 0.389
S6 0.052 0.611 0.166
S7 0.552 0.166 0.611
S8 0.948 0.389 0.834
S9 0.089 0.730 0.626
S10 0.411 0.374 0.270
S11 0.911 0.270 0.374
S12 0.589 0.626 0.730

Calculated values
Uncorrected formation energy, eV/atom: -0.722
DOS at the Fermi energy, states/eV/f.u.: 0.000

---

Entry 19:
First-principles (PBE) data for a geometry-optimized Li2AlSnP structure, as listed in the Alexandria database.

abc: 4.844 5.171 4.844
angles: 90.00 90.00 90.00
Fractional coordinates of all 5 atoms:
P1 0.500 0.500 0.500
Li1 0.000 0.000 0.500
Li2 0.500 0.000 0.000
Sn1 0.000 0.500 0.000
Al1 0.000 0.000 0.000

Calculated values
VASP energy, eV per atom: -2.797
DOS at the Fermi energy, states/eV/f.u.: 4.211

---

Entry 20:
First-principles (PBE) data for a geometry-optimized Li2PaAl9 structure, as listed in the Alexandria database.

abc: 4.164 4.164 12.234
angles: 90.00 90.00 90.00
Fractional coordinates of all 12 atoms:
Li1 0.000 0.000 0.338
Li2 0.000 0.000 0.662
Pa1 0.000 0.000 0.000
Al1 0.500 0.500 0.000
Al2 0.500 0.500 0.341
Al3 0.500 0.500 0.659
Al4 0.500 0.000 0.181
Al5 0.500 0.000 0.500
Al6 0.500 0.000 0.819
Al7 0.000 0.500 0.181
Al8 0.000 0.500 0.500
Al9 0.000 0.500 0.819

Calculated values
VASP energy, eV per atom: -4.035
DOS at the Fermi energy, states/eV/f.u.: 6.192

---

Entry 21:
First-principles (PBE) data for a geometry-optimized LiPa2Al9 structure, as listed in the Alexandria database.

abc: 4.244 4.244 12.514
angles: 90.00 90.00 90.00
Fractional coordinates of all 12 atoms:
Li1 0.000 0.000 0.000
Pa1 0.000 0.000 0.326
Pa2 0.000 0.000 0.674
Al1 0.500 0.500 0.000
Al2 0.500 0.500 0.332
Al3 0.500 0.500 0.668
Al4 0.500 0.000 0.149
Al5 0.500 0.000 0.500
Al6 0.500 0.000 0.851
Al7 0.000 0.500 0.149
Al8 0.000 0.500 0.500
Al9 0.000 0.500 0.851

Calculated values
VASP energy, eV per atom: -4.734
DOS at the Fermi energy, states/eV/f.u.: 9.431

---

Entry 22:
First-principles (PBE) data for a geometry-optimized LiPa2Al structure, as listed in the Alexandria database.

abc: 3.036 3.036 11.686
angles: 82.54 82.54 60.00
Fractional coordinates of all 4 atoms:
Pa1 0.091 0.091 0.728
Pa2 0.909 0.909 0.272
Al1 0.500 0.500 0.500
Li1 0.000 0.000 0.000

Calculated values
VASP energy, eV per atom: -5.999
DOS at the Fermi energy, states/eV/f.u.: 6.613

---

Entry 23:
First-principles (PBE) data for a geometry-optimized LiPaAl4 structure, as listed in the Alexandria database.

abc: 5.459 5.459 5.459
angles: 60.00 60.00 60.00
Last column: magnetic moment on the atom in μB.
Fractional coordinates of all 6 atoms:
Pa1 0.000 0.000 0.000  0.25
Al1 0.626 0.626 0.122  0.00
Al2 0.626 0.122 0.626  0.00
Al3 0.626 0.626 0.626  0.00
Al4 0.122 0.626 0.626  0.00
Li1 0.250 0.250 0.250  0.00

Calculated values
VASP energy, eV per atom: -4.467
DOS at the Fermi energy, states/eV/f.u.: 7.567

---

Entry 24:
First-principles (PBE) data for a geometry-optimized LiPaAl2 structure, as listed in the Alexandria database.

abc: 3.071 3.071 7.742
angles: 90.00 90.00 90.00
Fractional coordinates of all 4 atoms:
Pa1 0.500 0.500 0.500
Al1 0.000 0.000 0.792
Al2 0.000 0.000 0.208
Li1 0.500 0.500 0.000

Calculated values
E above lowest polymorph, eV per atom: 0.000
DOS at the Fermi energy, states/eV/f.u.: 3.850

---

Entry 25:
First-principles (PBE) data for a geometry-optimized LiPa2Al6 structure, as listed in the Alexandria database.

abc: 3.109 8.096 8.096
angles: 60.00 89.99 89.99
Fractional coordinates of all 9 atoms:
Li1 0.000 0.000 0.000
Pa1 0.000 0.333 0.333
Pa2 0.000 0.667 0.667
Al1 0.500 0.670 0.000
Al2 0.500 0.000 0.330
Al3 0.500 0.330 0.000
Al4 0.500 0.670 0.330
Al5 0.500 0.000 0.670
Al6 0.500 0.330 0.670

Calculated values
VASP energy, eV per atom: -5.000
DOS at the Fermi energy, states/eV/f.u.: 11.333

---

Entry 26:
First-principles (PBE) data for a geometry-optimized LiPaAl2 structure, as listed in the Alexandria database.

abc: 4.848 4.848 4.848
angles: 60.00 60.00 60.00
Fractional coordinates of all 4 atoms:
Pa1 0.000 0.000 0.000
Al1 0.250 0.250 0.250
Al2 0.750 0.750 0.750
Li1 0.500 0.500 0.500

Calculated values
E above lowest polymorph, eV per atom: 0.188
DOS at the Fermi energy, states/eV/f.u.: 4.598